Entry 1:
# Dy3BiPN

Dy3BiPN after structural relaxation (PBE, Alexandria via LeMat-Bulk).

Properties
- Space group: No. 11
- Formation energy (no corrections): -1.2523 eV per atom

```
Dy3BiPN
1.0
4.053 0.000 0.000
0.000 8.773 0.627
0.000 -2.748 8.824
Dy Bi P N
6 2 2 2
Cartesian
3.040 -0.055 4.667 Dy
3.040 7.254 1.983 Dy
1.013 2.645 7.877 Dy
1.013 6.081 4.784 Dy
3.040 3.381 1.574 Dy
1.013 -1.229 7.468 Dy
1.013 1.005 2.048 Bi
3.040 5.020 7.403 Bi
1.013 5.287 1.779 P
3.040 0.738 7.672 P
1.013 -0.847 5.365 N
3.040 6.873 4.086 N
```



Entry 2:
# NbSiTe2N

NbSiTe2N after structural relaxation (PBE, Alexandria via LeMat-Bulk).

Properties
- Space group: No. 123
- Formation energy (no corrections): 0.3945 eV per atom
- Energy relative to the lowest polymorph listed for this composition: 0.0000 eV per atom

```
NbSiTe2N
1.0
-1.511 -1.462 -5.148
4.555 -3.159 -0.440
-1.967 -3.036 1.439
Nb Si Te N
1 1 2 1
Cartesian
0.000 0.000 0.000 Nb
0.539 -3.828 -2.074 Si
2.277 -1.579 -0.220 Te
-0.755 -0.731 -2.574 Te
-0.983 -1.518 0.720 N
```



Entry 3:
# POs

POs after structural relaxation (PBE, Alexandria via LeMat-Bulk).

Properties
- Space group: No. 129
- Energy relative to the elements: 69.0 meV per atom

```
POs
1.0
-0.120 2.051 1.979
-2.725 -0.663 0.521
2.243 -5.020 5.337
P Os
2 2
Cartesian
0.640 -0.541 2.655 P
0.180 -3.786 3.933 P
-1.070 -0.986 0.957 Os
1.890 -3.340 5.631 Os
```



Entry 4:
# SiTcAs2

SiTcAs2 after structural relaxation (PBE, Alexandria via LeMat-Bulk).

Properties
- Space group: No. 12
- Formation energy (no corrections): 0.3732 eV per atom

```
SiTcAs2
1.0
5.071 0.096 0.210
-1.883 3.929 0.233
1.305 1.621 3.559
As Si Tc
2 1 1
Cartesian
0.000 0.000 0.000 As
3.188 0.858 1.884 As
-0.289 2.775 1.896 Si
1.594 2.013 0.221 Tc
```



Entry 5:
# HfTlOs2

HfTlOs2 after structural relaxation (PBE, Alexandria via LeMat-Bulk).

Properties
- Space group: No. 225
- Energy relative to the elements: 250.6 meV per atom
- Energy relative to the lowest polymorph listed for this composition: 0.0000 eV per atom

```
HfTlOs2
1.0
2.836 2.110 2.989
-0.700 4.438 1.116
-1.510 1.112 4.232
Os Tl Hf
2 1 1
Cartesian
0.157 1.915 2.084 Os
0.470 5.745 6.253 Os
0.314 3.830 4.168 Tl
0.000 0.000 0.000 Hf
```



Entry 6:
# Tl2ReCl

Tl2ReCl after structural relaxation (PBE, Alexandria via LeMat-Bulk).

Properties
- Space group: No. 47
- Formation energy (no corrections): 0.6054 eV per atom
- Energy relative to the lowest polymorph listed for this composition: 0.1263 eV per atom

```
Tl2ReCl
1.0
3.003 0.000 0.000
0.000 5.128 0.000
0.000 0.000 5.821
Tl Cl Re
2 1 1
Cartesian
0.000 0.000 5.094 Tl
1.501 2.564 2.183 Tl
0.000 0.000 2.183 Cl
1.501 2.564 5.094 Re
```



Entry 7:
# Ca2Mg2Cu3

Ca2Mg2Cu3 after structural relaxation (PBE, Alexandria via LeMat-Bulk).

Properties
- Space group: No. 12
- Energy relative to the elements: -25.2 meV per atom
- Energy relative to the lowest polymorph listed for this composition: 0.0620 eV per atom

```
Ca2Mg2Cu3
1.0
-3.081 6.507 -3.979
-5.503 6.028 -1.021
0.780 13.664 2.851
Cu Ca Mg
6 4 4
Cartesian
-1.023 4.326 -0.137 Cu
-0.004 13.116 2.121 Cu
-7.801 13.083 -4.270 Cu
-2.257 10.415 -0.162 Cu
-6.782 21.873 -2.012 Cu
-5.547 15.785 -1.987 Cu
-6.121 18.851 -1.960 Ca
-2.578 18.041 0.810 Ca
-5.226 8.159 -2.959 Ca
-1.683 7.349 -0.188 Ca
-0.144 10.509 1.584 Mg
-7.660 15.690 -3.733 Mg
-3.605 14.553 -0.595 Mg
-4.200 11.646 -1.553 Mg
```



Entry 8:
# ScCu

ScCu after structural relaxation (PBE, Alexandria via LeMat-Bulk).

Properties
- Space group: No. 63
- Energy relative to the elements: -246.6 meV per atom

```
ScCu
1.0
3.285 0.000 0.000
-1.643 5.021 0.000
0.000 0.000 4.323
Sc Cu
2 2
Cartesian
0.000 1.435 1.081 Sc
1.643 3.586 3.242 Sc
0.000 4.260 1.081 Cu
1.643 0.761 3.242 Cu
```



Entry 9:
# Ba2CeAu2Se6

Ba2CeAu2Se6 after structural relaxation (PBE, Alexandria via LeMat-Bulk).

Properties
- Space group: No. 12
- Formation energy (no corrections): -1.1142 eV per atom

```
Ba2CeAu2Se6
1.0
6.195 0.000 0.000
-3.098 7.132 -0.168
0.000 -4.301 7.819
Au Ce Se Ba
2 1 6 2
Cartesian
3.098 2.838 5.552 Au
0.000 -0.007 2.099 Au
3.098 -2.151 3.909 Ce
3.098 0.571 4.595 Se
1.591 -2.422 6.407 Se
-1.506 5.253 1.244 Se
4.604 -2.422 6.407 Se
1.506 5.253 1.244 Se
0.000 2.260 3.056 Se
3.098 2.142 1.636 Ba
0.000 0.689 6.014 Ba
```



Entry 10:
# ZrAg3Pb

ZrAg3Pb after structural relaxation (PBE, Alexandria via LeMat-Bulk).

Properties
- Space group: No. 221
- Energy relative to the elements: 985.9 meV per atom
- Energy relative to the lowest polymorph listed for this composition: 0.0039 eV per atom

```
ZrAg3Pb
1.0
-0.828 4.523 -2.624
1.471 -2.348 -4.511
-5.018 -1.434 -0.890
Pb Zr Ag
1 1 3
Cartesian
-2.187 0.371 -4.012 Pb
0.000 0.000 0.000 Zr
0.736 -1.174 -2.256 Ag
-0.414 2.262 -1.312 Ag
-2.509 -0.717 -0.445 Ag
```



| no. | total moment (Bohr magnetons per cell) | mass density (g/cm³) |
| --- | --- | --- |
| 1 | 0.000 | 7.7 |
| 2 | 0.000 | 5.4 |
| 3 | 0.000 | 11.8 |
| 4 | 0.000 | 6.7 |
| 5 | 0.000 | 18.1 |
| 6 | 0.310 | 11.7 |
| 7 | 0.000 | 3.3 |
| 8 | 0.000 | 5.1 |
| 9 | 0.421 | 6.2 |
| 10 | 0.988 | 7.0 |